Material: Zr3BiH
Method: DFT, PBE
State: relaxed

It has space group R-3m (No. 166, hexagonal axes), with a = 6.3983 Å, b = 6.3983 Å, c = 15.6584 Å, α = 90.00°, β = 90.00° and γ = 120.00°. The asymmetric unit holds Zr at (0.0018, 0.5009, 0.2509), Bi at (0.0000, 0.0000, 0.2484), H at (0.0000, 0.0000, 0.0000) and H at (0.0000, 0.0000, 0.5000).

As for the total energy: -6.941 eV/atom. For the size of the total moment, the calculation gives 0.2 μB per cell. For the relative energy among the computed polymorphs, the calculation gives 16 meV per atom. The calculation puts the calculated volume at 18.51 A^3/atom.